Gd2DyMg3In3 | PBE | optimized geometry

The structure in POSCAR format:
```
Gd2DyMg3In3
1.0
-4.324 1.816 0.132
-2.630 -5.989 -3.739
0.198 -0.078 7.531
Dy Gd In Mg
1 2 3 3
direct
0.000 0.434 0.434 Dy
0.000 0.000 0.565 Gd
0.000 0.565 0.000 Gd
0.000 0.002 0.002 In
0.500 0.666 0.334 In
0.500 0.334 0.666 In
0.500 0.242 0.000 Mg
0.500 0.000 0.242 Mg
0.500 0.759 0.759 Mg
```

energy: -3.377 eV/atom

---

GdDy2Mg3In3 | PBE | optimized geometry

The structure in POSCAR format:
```
GdDy2Mg3In3
1.0
4.682 0.000 0.000
0.000 6.529 3.754
0.000 -6.529 3.754
Dy Gd In Mg
2 1 3 3
direct
0.000 0.566 0.000 Dy
0.000 0.000 0.566 Dy
0.000 0.435 0.435 Gd
0.500 0.668 0.333 In
0.500 0.333 0.668 In
0.000 0.998 0.998 In
0.500 0.241 0.000 Mg
0.500 0.000 0.241 Mg
0.500 0.758 0.758 Mg
```

energy: -3.366 eV/atom

---

GdDyMg2In2 | PBE | optimized geometry

The structure in POSCAR format:
```
GdDyMg2In2
1.0
-0.276 4.546 -1.839
-2.589 -1.193 4.000
5.604 2.056 4.239
Dy Gd In Mg
1 1 2 2
direct
0.000 0.000 0.511 Dy
0.000 0.000 0.011 Gd
0.333 0.667 0.288 In
0.667 0.333 0.785 In
0.667 0.333 0.239 Mg
0.333 0.667 0.736 Mg
```

energy: -3.346 eV/atom

---

NdGd2DyIn2 | PBE | optimized geometry

The structure in POSCAR format:
```
NdGd2DyIn2
1.0
-1.816 5.137 -0.200
-0.896 -3.373 -4.188
-5.869 -1.964 2.837
Dy Gd In Nd
1 2 2 1
direct
0.000 0.000 0.000 Dy
0.333 0.667 0.245 Gd
0.333 0.667 0.755 Gd
0.667 0.333 0.000 In
0.000 0.000 0.500 In
0.667 0.333 0.500 Nd
```

energy: -4.374 eV/atom